Entry 1:
Material: HoMg2Cd5
Method: DFT, PBE
State: relaxed

The formation enthalpy at 0 K comes out at -173 meV/atom.

It has space group I4/mmm (No. 139), with a = 4.5324 Å, b = 4.5324 Å, c = 17.7925 Å, α = 90.00°, β = 90.00° and γ = 90.00°. Symmetry generates all atoms from Ho at (0.0000, 0.0000, 0.0000), Mg at (0.0000, 0.0000, 0.2459), Cd at (0.0000, 0.0000, 0.5000) and Cd at (0.0000, 0.5000, 0.1305).

=====

Entry 2:
Material: K3SiOs
Method: DFT, PBE
State: relaxed

Its energy relative to the lowest polymorph listed for this composition is 0 meV/atom. For the formation energy (no corrections), the calculation gives 745 kJ/mol of formula units.

It has space group Pm-3m (No. 221), with a = 6.1634 Å, b = 6.1634 Å, c = 6.1634 Å, α = 90.00°, β = 90.00° and γ = 90.00°. Symmetry generates all atoms from K at (0.0000, 0.0000, 0.5000), Si at (0.5000, 0.5000, 0.5000) and Os at (0.0000, 0.0000, 0.0000).

=====

Entry 3:
Material: Hf2IrPd
Method: DFT, PBE
State: relaxed

The formation enthalpy at 0 K comes out at -812 meV/atom. Its energy relative to the lowest polymorph listed for this composition is 0 meV/atom.

It has space group Fm-3m (No. 225), with a = 6.5986 Å, b = 6.5986 Å, c = 6.5986 Å, α = 90.00°, β = 90.00° and γ = 90.00°. Symmetry generates all atoms from Hf at (0.2500, 0.2500, 0.2500), Ir at (0.0000, 0.0000, 0.0000) and Pd at (0.0000, 0.0000, 0.5000).

=====

Entry 4:
Material: DyPbAu
Method: DFT, PBE
State: relaxed

The formation enthalpy at 0 K comes out at -513 meV/atom.

It has space group P3m1 (No. 156), with a = 4.8547 Å, b = 4.8547 Å, c = 3.6226 Å, α = 90.00°, β = 90.00° and γ = 120.00°. Symmetry generates all atoms from Dy at (0.0000, 0.0000, 0.0000), Pb at (0.6667, 0.3333, 0.4466) and Au at (0.3333, 0.6667, 0.5974).

=====

Entry 5:
Material: TaRh2W
Method: DFT, PBE
State: relaxed

The formation enthalpy at 0 K comes out at -125 meV/atom. Its energy relative to the lowest polymorph listed for this composition is 200 meV/atom.

It has space group P4mm (No. 99), with a = 2.8160 Å, b = 2.8160 Å, c = 7.9470 Å, α = 90.00°, β = 90.00° and γ = 90.00°. Symmetry generates all atoms from Ta at (0.0000, 0.0000, 0.0000), Rh at (0.0000, 0.0000, 0.5074), Rh at (0.5000, 0.5000, 0.7601) and W at (0.5000, 0.5000, 0.2770).

=====

Entry 6:
Material: TlSnCl3
Method: DFT, PBE
State: relaxed

For the formation energy (no corrections), the calculation gives -416 kJ/mol of formula units.

It has space group R-3c (No. 167, hexagonal axes), with a = 8.1265 Å, b = 8.1265 Å, c = 20.0304 Å, α = 90.00°, β = 90.00° and γ = 120.00°. Symmetry generates all atoms from Tl at (0.0000, 0.0000, 0.0000), Sn at (0.0000, 0.0000, 0.2500) and Cl at (0.0000, 0.3287, 0.2500).

=====

Number 1: electronic total energy -1.716 eV per atom. Number 2: electronic total energy -2.445 eV per atom. Number 3: electronic total energy -9.302 eV per atom. Number 4: electronic total energy -4.375 eV per atom. Number 5: electronic total energy -10.002 eV per atom. Number 6: electronic total energy -3.245 eV per atom.